A plane-wave DFT calculation with PBEsol was carried out for a relaxed Tc3Pd crystal.

```
data_Tc3Pd
_chemical_formula_sum 'Tc6 Pd2'
_cell_length_a 5.4540
_cell_length_b 5.4540
_cell_length_c 4.3319
_cell_angle_alpha 90.00
_cell_angle_beta 90.00
_cell_angle_gamma 120.00
_space_group_name_H-M_alt 'P 63/m m c'
_space_group_IT_number 194
_space_group_name_Hall '-P 6c 2c'
loop_
_atom_site_label
_atom_site_fract_x
_atom_site_fract_y
_atom_site_fract_z
Tc1 0.1590 0.3179 0.2500
Pd1 0.3333 0.6667 0.7500
```

**Formation energy from the elements**: -100 meV per atom
**Calculated density**: 11.916 g cm⁻³
**Excess energy over the best structure of this formula in the dataset**: 0 meV per atom
**Magnetic moment**: 0.00 μB per atom